Record 1
Computed, not measured: Ti3N2O3 after structural relaxation at the PBEsol level of DFT.

Total magnetic moment in μB/f.u.: 0.000
Raw formation energy in eV/atom: -2.41
E above lowest polymorph in meV/atom: 0
Fermi-level density of states in states/eV per cell: 0.000

a = 5.192 Å, b = 5.192 Å, c = 9.796 Å
α = 90.49°, β = 90.49°, γ = 43.20°
Atoms (fractional coordinates):
1 Ti 0.000 0.000 0.000
2 Ti 0.002 0.002 0.375
3 Ti 0.055 0.055 0.684
4 Ti 0.653 0.653 0.192
5 Ti 0.713 0.713 0.491
6 Ti 0.719 0.719 0.875
7 N 0.091 0.091 0.180
8 N 0.160 0.160 0.863
9 N 0.166 0.166 0.513
10 N 0.547 0.547 0.362
11 O 0.538 0.538 0.005
12 O 0.608 0.608 0.686
13 O 0.807 0.807 0.051
14 O 0.809 0.809 0.316
15 O 0.897 0.897 0.812
16 O 0.902 0.902 0.553

---

Record 2
Computed, not measured: BeCdH2Pd after structural relaxation at the PBEsol level of DFT.

Total magnetic moment in μB/f.u.: 0.000
Energy in eV/atom: -3.140
Fermi-level density of states in states/eV per cell: 0.841

a = 3.374 Å, b = 3.374 Å, c = 5.519 Å
α = 90.00°, β = 90.00°, γ = 90.00°
Atoms (fractional coordinates):
1 Be 0.000 0.000 0.000
2 Cd 0.500 0.500 0.000
3 H 0.000 0.500 0.500
4 H 0.500 0.000 0.500
5 Pd 0.500 0.500 0.500

---

Record 3
Computed, not measured: Mg3PC after structural relaxation at the PBEsol level of DFT.

Total magnetic moment in μB/f.u.: 1.008
Formation enthalpy at 0 K in eV/f.u.: 5.01
Fermi-level density of states in states/eV per cell: 1.386

a = 4.701 Å, b = 4.701 Å, c = 4.701 Å
α = 90.00°, β = 90.00°, γ = 90.00°
Atoms (fractional coordinates):
1 Mg 0.000 0.000 0.500
2 Mg 0.000 0.500 0.000
3 Mg 0.500 0.000 0.000
4 P 0.000 0.000 0.000
5 C 0.500 0.500 0.500

---

Record 4
Computed, not measured: LaYSc2 after structural relaxation at the PBEsol level of DFT.

Total magnetic moment in μB/f.u.: 0.000
Formation enthalpy at 0 K in eV/f.u.: 0.37
E above lowest polymorph in meV/atom: 46
Fermi-level density of states in states/eV per cell: 6.381

a = 6.404 Å, b = 6.404 Å, c = 6.404 Å
α = 146.05°, β = 129.66°, γ = 62.11°
Atoms (fractional coordinates):
1 La 0.000 0.000 0.000
2 Y 0.275 0.775 0.500
3 Sc 0.522 0.522 0.000
4 Sc 0.746 0.246 0.500

---

- Which formula does entry 1 have?
  Ti3N2O3

---

- Which value of Fermi-level density of states does entry 3 give?
  1.386 states/eV per cell

---

- Number 4 is which compound?
  LaYSc2

---

What did the second record say?
Computed, not measured: BeCdH2Pd after structural relaxation at the PBEsol level of DFT.

Total magnetic moment in μB/f.u.: 0.000
Energy in eV/atom: -3.140
Fermi-level density of states in states/eV per cell: 0.841

a = 3.374 Å, b = 3.374 Å, c = 5.519 Å
α = 90.00°, β = 90.00°, γ = 90.00°
Atoms (fractional coordinates):
1 Be 0.000 0.000 0.000
2 Cd 0.500 0.500 0.000
3 H 0.000 0.500 0.500
4 H 0.500 0.000 0.500
5 Pd 0.500 0.500 0.500